1.
Density functional theory data (PBE-GGA) for an optimized crystal structure of VI2N.

a = 7.691 Å, b = 7.691 Å, c = 10.316 Å
α = 90.00°, β = 90.00°, γ = 90.00°
Space group I-42d (No. 122)
Inequivalent atoms, fractional coordinates:
V 0.000 0.000 0.000
I 0.181 0.250 0.125
N 0.000 0.000 0.500

Properties
**Formation energy from raw total energies**: 1.1488 eV/atom
**Electronic total energy**: -3.987 eV per atom
**D(E_F)**: 8.75 states/eV per cell
**Polymorph energy (0 for the lowest one)**: 0.00 eV per formula unit

***

2.
Density functional theory data (PBE-GGA) for an optimized crystal structure of VIN.

a = 13.834 Å, b = 3.376 Å, c = 6.781 Å
α = 90.00°, β = 94.12°, γ = 90.00°
Space group C2/m (No. 12)
Inequivalent atoms, fractional coordinates:
V 0.069 0.000 0.154
I 0.116 0.000 0.788
N 0.104 0.500 0.224

Properties
**Formation energy from raw total energies**: -0.1720 eV/atom
**Electronic total energy**: -6.503 eV per atom
**D(E_F)**: 0.05 states/eV per cell

***

3.
Density functional theory data (PBE-GGA) for an optimized crystal structure of VI2N2.

a = 4.056 Å, b = 4.056 Å, c = 5.950 Å
α = 90.00°, β = 90.00°, γ = 90.00°
Space group P4/mmm (No. 123)
Inequivalent atoms, fractional coordinates:
V 0.000 0.000 0.000
I 0.000 0.000 0.500
I 0.500 0.500 0.500
N 0.000 0.500 0.000

Properties
**Formation energy from raw total energies**: 0.9616 eV/atom
**Electronic total energy**: -4.812 eV per atom
**D(E_F)**: 3.90 states/eV per cell
**Polymorph energy (0 for the lowest one)**: 0.00 eV per formula unit